A relaxed structure of SrYCl2, computed with PBE.

a = 3.9538 Å, b = 3.9538 Å, c = 9.3571 Å
α = 90.00°, β = 90.00°, γ = 125.79°
Closest atoms and distances in Å follow each position.
Fractional coordinates of all 4 atoms:
Sr (0.0000, 0.0000, 0.0000)  4 Cl 3.06
Y (0.0000, 0.0000, 0.5000)  4 Cl 2.84
Cl (0.5000, 0.5000, 0.2649)  2 Y 2.84, 2 Sr 3.06
Cl (0.5000, 0.5000, 0.7351)  2 Y 2.84, 2 Sr 3.06

Formation energy without anion corrections, eV/f.u.: -5.3
Space group: Cmmm, No. 65
Uncorrected energy, hartree per atom: -0.1572
Total magnetization, μB/atom: 0.00
Offset from the most stable computed form, meV/atom: 164